The following is a DFT calculation (PBE-GGA) of a geometry-optimized DyAl4Ga structure.

Output
DFT total energy, eV per atom: -3.949
Formation enthalpy at 0 K, eV per atom: -0.18

Cell lengths 7.764, 7.764, 7.764 Å; angles 90.00, 90.00, 90.00 degrees
Space group F-43m (No. 216)
Inequivalent atoms, fractional coordinates:
Dy: 0.000 0.000 0.000 x4
Al: 0.125 0.125 0.375 x16
Ga: 0.250 0.250 0.750 x4

The following is a DFT calculation (PBE-GGA) of a geometry-optimized Sr2Ca2Se structure.

Output
DFT total energy, eV per atom: -2.492
Raw formation energy, eV per atom: -0.322

Cell lengths 4.361, 4.361, 20.990 Å; angles 90.00, 90.00, 90.00 degrees
Space group I4/mmm (No. 139)
Inequivalent atoms, fractional coordinates:
Sr: 0.000 0.000 0.085 x4
Ca: 0.000 0.500 0.250 x4
Se: 0.000 0.000 0.500 x2

The following is a DFT calculation (PBE-GGA) of a geometry-optimized CaBiSbIr2 structure.

Output
DFT total energy, eV per atom: -4.552
Raw formation energy, eV per atom: 0.994

Cell lengths 5.044, 5.044, 5.747 Å; angles 90.00, 90.00, 90.00 degrees
Space group P4/mmm (No. 123)
Inequivalent atoms, fractional coordinates:
Ca: 0.000 0.000 0.000 x1
Bi: 0.500 0.500 0.500 x1
Sb: 0.500 0.500 0.000 x1
Ir: 0.000 0.500 0.500 x2